# 1
A relaxed Na2CuH crystal, computed with PBE. Values from VASP.

Structure (Quantum ESPRESSO input):
```
&SYSTEM
  ibrav = 0, nat = 4, ntyp = 3
/
ATOMIC_SPECIES
Na 22.99 Na.upf
Cu 63.55 Cu.upf
H 1.01 H.upf
CELL_PARAMETERS angstrom
0.000 3.385 3.385
3.385 0.000 3.385
3.385 3.385 0.000
ATOMIC_POSITIONS angstrom
Na 1.692 1.692 1.692
Na 5.077 5.077 5.077
Cu 0.000 0.000 0.000
H 3.385 3.385 3.385
```

Values from the calculation:
Calculated volume: 19.4 A^3/atom
VASP energy: -2.124 eV per atom
D(E_F): 0.1642 states/eV/atom
Density: 2.37 Mg/m³
Spin magnetization: 0.000 μB/atom


# 2
A relaxed Na2CuH2 crystal, computed with PBE. Values from VASP.

Structure (Quantum ESPRESSO input):
```
&SYSTEM
  ibrav = 0, nat = 10, ntyp = 3
/
ATOMIC_SPECIES
Na 22.99 Na.upf
Cu 63.55 Cu.upf
H 1.01 H.upf
CELL_PARAMETERS angstrom
6.123 0.000 0.000
0.000 6.123 0.000
0.000 0.000 3.451
ATOMIC_POSITIONS angstrom
Na 0.960 2.101 0.000
Na 2.101 5.163 0.000
Na 4.022 0.960 0.000
Na 5.163 4.022 0.000
Cu 0.000 0.000 1.726
Cu 3.062 3.062 1.726
H 1.086 4.147 1.726
H 1.976 1.086 1.726
H 4.147 5.038 1.726
H 5.038 1.976 1.726
```

Values from the calculation:
Calculated volume: 12.9 A^3/atom
VASP energy: -2.453 eV per atom
D(E_F): 0.2741 states/eV/atom
Density: 2.86 Mg/m³
Spin magnetization: 0.000 μB/atom


# 3
A relaxed Na3Cu2H7 crystal, computed with PBE. Values from VASP.

Structure (Quantum ESPRESSO input):
```
&SYSTEM
  ibrav = 0, nat = 12, ntyp = 3
/
ATOMIC_SPECIES
Na 22.99 Na.upf
Cu 63.55 Cu.upf
H 1.01 H.upf
CELL_PARAMETERS angstrom
-1.756 1.756 9.305
1.756 -1.756 9.305
1.756 1.756 -9.305
ATOMIC_POSITIONS angstrom
Na 0.000 0.000 0.000
Na 0.000 0.000 3.390
Na 0.000 0.000 15.220
Cu 0.000 0.000 7.548
Cu 0.000 0.000 11.062
H 1.756 0.000 1.661
H 0.000 0.000 5.830
H 1.756 0.000 7.644
H 0.000 0.000 9.305
H 0.000 1.756 1.661
H 0.000 0.000 12.780
H 0.000 1.756 7.644
```

Values from the calculation:
Calculated volume: 9.6 A^3/atom
VASP energy: -3.030 eV per atom
D(E_F): 0.1244 states/eV/atom
Density: 2.94 Mg/m³
Spin magnetization: 0.000 μB/atom


# 4
A relaxed Na2Cu2H5 crystal, computed with PBE. Values from VASP.

Structure (Quantum ESPRESSO input):
```
&SYSTEM
  ibrav = 0, nat = 9, ntyp = 3
/
ATOMIC_SPECIES
Na 22.99 Na.upf
Cu 63.55 Cu.upf
H 1.01 H.upf
CELL_PARAMETERS angstrom
4.759 -1.717 0.000
4.759 1.717 0.000
-0.973 0.000 5.747
ATOMIC_POSITIONS angstrom
Na 0.615 0.000 1.864
Na 7.930 0.000 3.883
Cu 3.157 0.000 0.625
Cu 5.388 0.000 5.122
H 1.014 0.000 5.152
H 3.160 0.000 2.229
H 4.759 0.000 0.000
H 5.385 0.000 3.517
H 7.531 0.000 0.595
```

Values from the calculation:
Calculated volume: 10.4 A^3/atom
VASP energy: -3.125 eV per atom
D(E_F): 0.1532 states/eV/atom
Density: 3.15 Mg/m³
Spin magnetization: 0.000 μB/atom


# 5
A relaxed NaCuH crystal, computed with PBE. Values from VASP.

Structure (Quantum ESPRESSO input):
```
&SYSTEM
  ibrav = 0, nat = 6, ntyp = 3
/
ATOMIC_SPECIES
Na 22.99 Na.upf
Cu 63.55 Cu.upf
H 1.01 H.upf
CELL_PARAMETERS angstrom
1.475 -10.462 0.000
1.475 10.462 0.000
0.000 0.000 2.571
ATOMIC_POSITIONS angstrom
Na 1.475 6.774 1.929
Na 1.475 -6.774 0.643
Cu 1.475 1.150 0.643
Cu 1.475 -1.150 1.929
H 1.475 9.091 0.643
H 1.475 -9.091 1.929
```

Values from the calculation:
Calculated volume: 13.2 A^3/atom
VASP energy: -2.591 eV per atom
D(E_F): 0.2428 states/eV/atom
Density: 3.66 Mg/m³
Spin magnetization: 0.000 μB/atom


# 6
A relaxed NaCuH4 crystal, computed with PBE. Values from VASP.

Structure (Quantum ESPRESSO input):
```
&SYSTEM
  ibrav = 0, nat = 12, ntyp = 3
/
ATOMIC_SPECIES
Na 22.99 Na.upf
Cu 63.55 Cu.upf
H 1.01 H.upf
CELL_PARAMETERS angstrom
5.643 -2.782 0.000
5.643 2.782 0.000
-1.964 0.000 4.748
ATOMIC_POSITIONS angstrom
Na 1.804 0.000 0.992
Na 7.518 0.000 3.756
Cu 2.672 0.000 4.183
Cu 6.649 0.000 0.565
H 1.307 0.000 3.472
H 4.796 1.348 2.019
H 4.525 1.348 2.728
H 5.643 1.254 0.000
H 5.643 -1.254 0.000
H 4.796 -1.348 2.019
H 4.525 -1.348 2.728
H 8.014 0.000 1.276
```

Values from the calculation:
Calculated volume: 12.4 A^3/atom
VASP energy: -3.129 eV per atom
D(E_F): 0.0000 states/eV/atom
Density: 2.02 Mg/m³
Spin magnetization: 0.000 μB/atom


# 7
A relaxed Na3CuNi2H9 crystal, computed with PBE. Values from VASP.

Structure (Quantum ESPRESSO input):
```
&SYSTEM
  ibrav = 0, nat = 15, ntyp = 4
/
ATOMIC_SPECIES
Na 22.99 Na.upf
Cu 63.55 Cu.upf
Ni 58.69 Ni.upf
H 1.01 H.upf
CELL_PARAMETERS angstrom
4.858 0.000 0.000
-2.429 4.207 0.000
0.000 0.000 5.947
ATOMIC_POSITIONS angstrom
Na 0.000 0.000 0.000
Na 0.000 2.805 3.964
Na 2.429 1.402 1.983
Cu 0.000 0.000 2.973
Ni 0.000 2.805 0.971
Ni 2.429 1.402 4.976
H -1.215 2.104 0.000
H 0.000 1.465 1.929
H -1.160 3.475 1.929
H 1.269 0.733 4.018
H 2.429 0.000 0.000
H 1.215 2.104 0.000
H 1.160 3.475 1.929
H 3.589 0.733 4.018
H 2.429 2.742 4.018
```

Values from the calculation:
Calculated volume: 8.1 A^3/atom
VASP energy: -3.459 eV per atom
D(E_F): 0.1749 states/eV/atom
Density: 3.54 Mg/m³
Spin magnetization: 0.000 μB/atom


# 8
A relaxed NaCuNi2H crystal, computed with PBE. Values from VASP.

Structure (Quantum ESPRESSO input):
```
&SYSTEM
  ibrav = 0, nat = 5, ntyp = 4
/
ATOMIC_SPECIES
Na 22.99 Na.upf
Cu 63.55 Cu.upf
Ni 58.69 Ni.upf
H 1.01 H.upf
CELL_PARAMETERS angstrom
4.567 0.000 0.000
0.000 4.567 0.000
0.000 0.000 3.203
ATOMIC_POSITIONS angstrom
Na 0.000 0.000 0.000
Cu 2.284 2.284 1.602
Ni 0.000 2.284 0.000
Ni 2.284 0.000 0.000
H 0.000 0.000 1.602
```

Values from the calculation:
Calculated volume: 13.4 A^3/atom
VASP energy: -2.693 eV per atom
D(E_F): 0.5237 states/eV/atom
Density: 5.09 Mg/m³
Spin magnetization: 0.000 μB/atom


# 9
A relaxed Na3CuNi2H8 crystal, computed with PBE. Values from VASP.

Structure (Quantum ESPRESSO input):
```
&SYSTEM
  ibrav = 0, nat = 14, ntyp = 4
/
ATOMIC_SPECIES
Na 22.99 Na.upf
Cu 63.55 Cu.upf
Ni 58.69 Ni.upf
H 1.01 H.upf
CELL_PARAMETERS angstrom
4.871 0.000 0.000
-2.436 4.219 0.000
0.000 0.000 6.520
ATOMIC_POSITIONS angstrom
Na 0.000 0.000 0.000
Na 0.000 2.812 4.260
Na 2.436 1.406 2.260
Cu 0.000 0.000 3.260
Ni 0.000 2.812 1.372
Ni 2.436 1.406 5.148
H 0.000 1.417 2.222
H -1.208 3.510 2.222
H 0.000 2.812 6.352
H 1.227 0.709 4.298
H 1.208 3.510 2.222
H 2.436 1.406 0.168
H 3.644 0.709 4.298
H 2.436 2.801 4.298
```

Values from the calculation:
Calculated volume: 9.6 A^3/atom
VASP energy: -3.292 eV per atom
D(E_F): 0.2973 states/eV/atom
Density: 3.20 Mg/m³
Spin magnetization: 0.000 μB/atom


# 10
A relaxed Na2CuNiH6 crystal, computed with PBE. Values from VASP.

Structure (Quantum ESPRESSO input):
```
&SYSTEM
  ibrav = 0, nat = 10, ntyp = 4
/
ATOMIC_SPECIES
Na 22.99 Na.upf
Cu 63.55 Cu.upf
Ni 58.69 Ni.upf
H 1.01 H.upf
CELL_PARAMETERS angstrom
5.005 0.000 0.000
-2.502 4.334 0.000
0.000 0.000 4.652
ATOMIC_POSITIONS angstrom
Na 0.000 2.889 1.026
Na 2.502 1.445 3.626
Cu 0.000 0.000 2.326
Ni 0.000 0.000 0.000
H 0.000 1.250 3.623
H -1.420 3.709 3.623
H 1.082 0.625 1.029
H 1.420 3.709 3.623
H 3.923 0.625 1.029
H 2.502 3.085 1.029
```

Values from the calculation:
Calculated volume: 10.1 A^3/atom
VASP energy: -3.378 eV per atom
D(E_F): 0.2053 states/eV/atom
Density: 2.87 Mg/m³
Spin magnetization: 0.000 μB/atom


# 11
A relaxed NaCu2Ni3H8 crystal, computed with PBE. Values from VASP.

Structure (Quantum ESPRESSO input):
```
&SYSTEM
  ibrav = 0, nat = 14, ntyp = 4
/
ATOMIC_SPECIES
Na 22.99 Na.upf
Cu 63.55 Cu.upf
Ni 58.69 Ni.upf
H 1.01 H.upf
CELL_PARAMETERS angstrom
2.650 1.530 4.359
-2.650 1.530 4.359
0.000 -3.060 4.359
ATOMIC_POSITIONS angstrom
Na 0.000 0.000 0.000
Cu 0.000 0.000 4.886
Cu 0.000 0.000 9.766
Ni 0.000 -1.519 7.055
Ni -1.315 0.759 7.055
Ni 1.315 0.759 7.055
H 0.000 -1.238 3.549
H -1.072 0.619 3.549
H 0.000 0.000 1.991
H -1.225 -0.707 6.121
H 1.072 0.619 3.549
H 0.000 0.000 7.981
H 1.225 -0.707 6.121
H 0.000 1.414 6.121
```

Values from the calculation:
Calculated volume: 7.6 A^3/atom
VASP energy: -3.818 eV per atom
D(E_F): 0.3145 states/eV/atom
Density: 5.24 Mg/m³
Spin magnetization: 0.000 μB/atom


# 12
A relaxed NaCuHO2 crystal, computed with PBE. Values from VASP.

Structure (Quantum ESPRESSO input):
```
&SYSTEM
  ibrav = 0, nat = 10, ntyp = 4
/
ATOMIC_SPECIES
Na 22.99 Na.upf
Cu 63.55 Cu.upf
H 1.01 H.upf
O 16.00 O.upf
CELL_PARAMETERS angstrom
3.622 0.000 0.000
0.000 4.968 0.000
-0.040 0.000 5.910
ATOMIC_POSITIONS angstrom
Na -0.010 0.003 1.477
Na -0.030 4.964 4.432
Cu 1.801 2.484 1.477
Cu 1.781 2.483 4.432
H 1.811 0.000 0.000
H 1.791 0.000 2.955
O 1.811 1.206 0.000
O 1.792 1.206 2.955
O 1.772 3.762 5.910
O 1.791 3.762 2.955
```

Values from the calculation:
Calculated volume: 10.6 A^3/atom
VASP energy: -4.678 eV per atom
D(E_F): 0.3696 states/eV/atom
Density: 3.73 Mg/m³
Spin magnetization: 0.000 μB/atom